! PBE Al2TlF8, relaxed; values from VASP
&SYSTEM
  ibrav = 0, nat = 11, ntyp = 3
/
ATOMIC_SPECIES
Al 26.98 Al.upf
Tl 204.38 Tl.upf
F 19.00 F.upf
CELL_PARAMETERS angstrom
4.9861 -2.8904 0.0000
4.9861 2.8904 0.0000
-0.3349 0.0000 5.2921
ATOMIC_POSITIONS crystal
Al 0.2260 0.2260 0.4970
Al 0.7740 0.7740 0.5030
Tl 0.5000 0.5000 0.0000
F 0.1196 0.1196 0.7387
F 0.1310 0.5714 0.6346
F 0.3085 0.3085 0.2036
F 0.4286 0.8690 0.3654
F 0.5714 0.1310 0.6346
F 0.6915 0.6915 0.7964
F 0.8690 0.4286 0.3654
F 0.8804 0.8804 0.2613
! **VASP energy**: -56.37 eV per cell
! **Size of the total moment**: 0.9 μB/f.u.
! **N(E_F)**: 2.62 states/eV/f.u.